DFT (PBE) results for a relaxed SiSb2Mo crystal.

Summary:
Raw formation energy, meV per atom: 430
D(E_F), states/eV per cell: 1.74
Total DFT energy (no corrections), eV per atom: -5.695

Cell: 8.8024 8.8024 8.8024 Å, 22.00 22.00 22.00°
Fractional positions:
Si: 0.0000 0.0000 0.0000
Sb: 0.2433 0.2433 0.2433
Sb: 0.7567 0.7567 0.7567
Mo: 0.5000 0.5000 0.5000

DFT (PBE) results for a relaxed Cu3PbO crystal.

Summary:
Raw formation energy, meV per atom: 56
D(E_F), states/eV per cell: 2.94
Energy above the most stable polymorph in this dataset, meV per atom: 0.0
Total DFT energy (no corrections), eV per atom: -4.135

Cell: 4.1990 4.1990 4.1990 Å, 90.00 90.00 90.00°
Fractional positions:
Cu: 0.0000 0.0000 0.5000
Cu: 0.0000 0.5000 0.0000
Cu: 0.5000 0.0000 0.0000
Pb: 0.5000 0.5000 0.5000
O: 0.0000 0.0000 0.0000

DFT (PBE) results for a relaxed BaGdHo crystal.

Summary:
D(E_F), states/eV per cell: 4.97
Formation energy, eV per atom: 0.17
Energy above the most stable polymorph in this dataset, meV per atom: 0.0
Total DFT energy (no corrections), eV per atom: -6.686

Cell: 8.6527 8.6527 8.6527 Å, 154.82 154.82 35.91°
Fractional positions:
Ba: 0.0000 0.0000 0.0000
Gd: 0.3147 0.3147 0.0000
Ho: 0.6798 0.6798 0.0000

DFT (PBE) results for a relaxed Pr6HoTh2 crystal.

Summary:
D(E_F), states/eV per cell: 15.40
Formation energy, eV per atom: 0.07
Total DFT energy (no corrections), eV per atom: -5.272

Cell: 3.6367 3.6367 27.4185 Å, 90.00 90.00 120.00°
Fractional positions:
Pr: 0.0000 0.0000 0.0637
Pr: 0.0000 0.0000 0.2791
Pr: 0.0000 0.0000 0.7209
Pr: 0.0000 0.0000 0.9363
Pr: 0.3333 0.6667 0.3941
Pr: 0.3333 0.6667 0.6059
Ho: 0.0000 0.0000 0.5000
Th: 0.3333 0.6667 0.1708
Th: 0.3333 0.6667 0.8292

DFT (PBE) results for a relaxed DyZr2ScN4 crystal.

Summary:
Raw formation energy, meV per atom: -1761
D(E_F), states/eV per cell: 5.63
Total DFT energy (no corrections), eV per atom: -9.428

Cell: 6.5927 6.5927 6.5927 Å, 120.07 119.91 90.02°
Fractional positions:
Dy: 0.5000 0.0000 0.0000
Dy: 0.5000 0.5000 0.5000
Zr: 0.0000 0.0000 0.0000
Zr: 0.0000 0.0000 0.5000
Zr: 0.0000 0.5000 0.0000
Zr: 0.5000 0.0000 0.5000
Sc: 0.0000 0.5000 0.5000
Sc: 0.5000 0.5000 0.0000
N: 0.2387 0.2499 0.9888
N: 0.2389 0.7501 0.4888
N: 0.2446 0.2448 0.5002
N: 0.2446 0.7444 0.9998
N: 0.7554 0.2556 0.0002
N: 0.7554 0.7552 0.4998
N: 0.7611 0.2499 0.5112
N: 0.7613 0.7501 0.0112

DFT (PBE) results for a relaxed ZrFeTe2 crystal.

Summary:
Raw formation energy, meV per atom: -23
D(E_F), states/eV per cell: 6.24
Total DFT energy (no corrections), eV per atom: -5.847

Cell: 9.1353 9.1353 9.1353 Å, 24.04 24.04 24.04°
Fractional positions:
Zr: 0.0000 0.0000 0.0000
Fe: 0.5000 0.5000 0.5000
Te: 0.4047 0.4047 0.4047
Te: 0.5953 0.5953 0.5953

DFT (PBE) results for a relaxed ZnInW2 crystal.

Summary:
D(E_F), states/eV per cell: 2.56
Formation energy, eV per atom: 0.59
Energy above the most stable polymorph in this dataset, meV per atom: 246.7
Total DFT energy (no corrections), eV per atom: -6.892

Cell: 2.7760 2.7760 8.7489 Å, 90.00 90.00 90.00°
Fractional positions:
Zn: 0.0000 0.0000 0.0000
In: 0.0000 0.0000 0.5000
W: 0.5000 0.5000 0.2348
W: 0.5000 0.5000 0.7652

DFT (PBE) results for a relaxed HoZn2CuAu4 crystal.

Summary:
D(E_F), states/eV per cell: 2.50
Formation energy, eV per atom: -0.37
Total DFT energy (no corrections), eV per atom: -3.416

Cell: 8.7356 8.7356 8.7356 Å, 29.73 29.73 29.73°
Fractional positions:
Ho: 0.0000 0.0000 0.0000
Zn: 0.2431 0.2431 0.2431
Zn: 0.7569 0.7569 0.7569
Cu: 0.5000 0.5000 0.5000
Au: 0.1294 0.1294 0.1294
Au: 0.3942 0.3942 0.3942
Au: 0.6058 0.6058 0.6058
Au: 0.8706 0.8706 0.8706

What is the D(E_F) in the third record? 4.97 states/eV per cell

Which formula does entry 4 have? Pr6HoTh2

Which of these has the lowest D(E_F)? SiSb2Mo

Among the records above, which one has the lowest D(E_F)? SiSb2Mo